Material: HfSn3Ru
Method: DFT, PBE
State: relaxed

Lattice parameters (Å, degrees): 5.0994 5.0994 5.0994 90.00 90.00 90.00
Space group Pm-3m (No. 221)
Symmetry-distinct sites (fractional):
Hf1 0.0000 0.0000 0.0000 (multiplicity 1)
Sn1 0.0000 0.5000 0.5000 (multiplicity 3)
Ru1 0.5000 0.5000 0.5000 (multiplicity 1)

## Properties
* polymorph energy (0 for the lowest one): 0 meV/atom
* Fermi-level density of states: 5.59 states/eV per cell
* electronic total energy: -28.48 eV/cell
* formation energy: 0.55 eV/atom